Entry 1:
The following is a DFT calculation (GGA-PBEsol) of a relaxed structure of ZnGeF3.

## Properties
The energy above the lowest structure with this stoichiometry is 132 meV per atom. The uncorrected formation energy comes out at -1385 meV/atom. For the energy, the calculation gives -19.2 eV/f.u.

Lattice parameters (Å, degrees): 4.230 4.230 4.230 90.00 90.00 90.00
Atoms (fractional coordinates):
F (0.500, 0.000, 0.000)
F (0.000, 0.500, 0.000)
F (0.000, 0.000, 0.500)
Ge (0.000, 0.000, 0.000)
Zn (0.500, 0.500, 0.500)

Entry 2:
The following is a DFT calculation (GGA-PBEsol) of a relaxed structure of NaCuSiBi2.

## Properties
The uncorrected formation energy comes out at 269 meV/atom. For the energy, the calculation gives -18.7 eV/f.u.

Lattice parameters (Å, degrees): 4.316 5.480 5.480 90.00 90.00 90.00
Atoms (fractional coordinates):
Si (0.500, 0.000, 0.000)
Na (0.500, 0.500, 0.500)
Bi (0.000, 0.500, 0.000)
Bi (0.000, 0.000, 0.500)
Cu (0.000, 0.000, 0.000)

Repeat the second record exactly.
The following is a DFT calculation (GGA-PBEsol) of a relaxed structure of NaCuSiBi2.

## Properties
The uncorrected formation energy comes out at 269 meV/atom. For the energy, the calculation gives -18.7 eV/f.u.

Lattice parameters (Å, degrees): 4.316 5.480 5.480 90.00 90.00 90.00
Atoms (fractional coordinates):
Si (0.500, 0.000, 0.000)
Na (0.500, 0.500, 0.500)
Bi (0.000, 0.500, 0.000)
Bi (0.000, 0.000, 0.500)
Cu (0.000, 0.000, 0.000)

> energy of number 2 (NaCuSiBi2)?

-18.7 eV/f.u.